No. 1
# PBE+U TmCrO4, relaxed
# * crystal system: orthorhombic
# * SG: Fddd (70)
# * calculated total energy: -91.755 eV per cell
data_TmCrO4
_symmetry_space_group_name_H-M 'P 1'
_symmetry_Int_Tables_number 1
_cell_length_a 5.8892
_cell_length_b 5.8892
_cell_length_c 5.9390
_cell_angle_alpha 106.17
_cell_angle_beta 106.17
_cell_angle_gamma 116.01
loop_
_symmetry_equiv_pos_as_xyz
'x,y,z'
loop_
_atom_site_label
_atom_site_fract_x
_atom_site_fract_y
_atom_site_fract_z
O1 0.2068 0.2617 0.5757
O2 0.2617 0.2068 0.0757
O3 0.8139 0.3689 0.0757
O4 0.7383 0.7932 0.9243
O5 0.7932 0.7383 0.4243
O6 0.1861 0.6311 0.9243
O7 0.6311 0.1861 0.4243
O8 0.3689 0.8139 0.5757
Cr1 0.6250 0.3750 0.2500
Cr2 0.3750 0.6250 0.7500
Tm1 0.8750 0.1250 0.7500
Tm2 0.1250 0.8750 0.2500

***

No. 2
# PBE+U Tm3CrO7, relaxed
# * crystal system: orthorhombic
# * SG: C222_1 (20)
# * calculated total energy: -175.207 eV per cell
data_Tm3CrO7
_symmetry_space_group_name_H-M 'P 1'
_symmetry_Int_Tables_number 1
_cell_length_a 6.3143
_cell_length_b 6.3143
_cell_length_c 7.1945
_cell_angle_alpha 90.00
_cell_angle_beta 90.00
_cell_angle_gamma 108.10
loop_
_symmetry_equiv_pos_as_xyz
'x,y,z'
loop_
_atom_site_label
_atom_site_fract_x
_atom_site_fract_y
_atom_site_fract_z
O1 0.9351 0.0649 0.2500
O2 0.3610 0.6390 0.7500
O3 0.3218 0.0764 0.4766
O4 0.6782 0.9236 0.9766
O5 0.0764 0.3218 0.5234
O6 0.9236 0.6782 0.0234
O7 0.7035 0.9564 0.5437
O8 0.6301 0.3699 0.7500
O9 0.0436 0.2965 0.9563
O10 0.0649 0.9351 0.7500
O11 0.2965 0.0436 0.0437
O12 0.6390 0.3610 0.2500
O13 0.9564 0.7035 0.4563
O14 0.3699 0.6301 0.2500
Tm1 0.9983 0.5408 0.7402
Tm2 0.5486 0.5486 0.0000
Tm3 0.5408 0.9983 0.2598
Tm4 0.0017 0.4592 0.2402
Tm5 0.4514 0.4514 0.5000
Tm6 0.4592 0.0017 0.7598
Cr1 0.0068 0.0068 0.0000
Cr2 0.9932 0.9932 0.5000

***

No. 3
# PBE+U TmCr2O2, relaxed
# * crystal system: tetragonal
# * SG: I4_1/amd (141)
# * calculated total energy: -135.651 eV per cell
data_TmCr2O2
_symmetry_space_group_name_H-M 'P 1'
_symmetry_Int_Tables_number 1
_cell_length_a 7.8887
_cell_length_b 7.8887
_cell_length_c 7.8887
_cell_angle_alpha 110.60
_cell_angle_beta 110.60
_cell_angle_gamma 107.23
loop_
_symmetry_equiv_pos_as_xyz
'x,y,z'
loop_
_atom_site_label
_atom_site_fract_x
_atom_site_fract_y
_atom_site_fract_z
Cr1 0.7928 0.4825 0.3103
Cr2 0.5175 0.2072 0.6897
Cr3 0.5175 0.8278 0.3103
Cr4 0.5778 0.7675 0.8103
Cr5 0.2325 0.0428 0.8103
Cr6 0.1722 0.4825 0.6897
Cr7 0.2325 0.4222 0.1897
Cr8 0.9572 0.7675 0.1897
O1 0.5734 0.9204 0.6530
O2 0.0796 0.7326 0.6530
O3 0.6704 0.5174 0.8470
O4 0.2674 0.9204 0.3470
O5 0.0796 0.4266 0.3470
O6 0.6704 0.8234 0.1530
O7 0.4826 0.3296 0.1530
O8 0.1766 0.3296 0.8470
Tm1 0.3750 0.1250 0.2500
Tm2 0.8750 0.6250 0.7500
Tm3 0.8750 0.1250 0.7500
Tm4 0.8750 0.1250 0.2500

***

No. 4
# PBE+U TmUCr2O8, relaxed
# * crystal system: orthorhombic
# * SG: Cmmm (65)
# * calculated total energy: -100.779 eV per cell
data_TmUCr2O8
_symmetry_space_group_name_H-M 'P 1'
_symmetry_Int_Tables_number 1
_cell_length_a 4.7895
_cell_length_b 4.7881
_cell_length_c 6.5460
_cell_angle_alpha 90.00
_cell_angle_beta 90.00
_cell_angle_gamma 88.98
loop_
_symmetry_equiv_pos_as_xyz
'x,y,z'
loop_
_atom_site_label
_atom_site_fract_x
_atom_site_fract_y
_atom_site_fract_z
O1 0.3112 0.3106 0.0000
O2 0.7964 0.2043 0.2382
O3 0.6888 0.6894 0.0000
O4 0.2036 0.7957 0.7618
O5 0.2036 0.7957 0.2382
O6 0.7964 0.2043 0.7618
O7 0.6755 0.6761 0.5000
O8 0.3245 0.3239 0.5000
Cr1 0.5000 0.5000 0.2584
Cr2 0.5000 0.5000 0.7416
Tm1 0.0000 0.0000 0.5000
U1 0.0000 0.0000 0.0000

***

No. 5
# PBE+U TmVCr2O8, relaxed
# * crystal system: monoclinic
# * SG: C2/m (12)
# * calculated total energy: -90.723 eV per cell
data_TmVCr2O8
_symmetry_space_group_name_H-M 'P 1'
_symmetry_Int_Tables_number 1
_cell_length_a 4.6786
_cell_length_b 4.6749
_cell_length_c 6.1358
_cell_angle_alpha 88.88
_cell_angle_beta 88.88
_cell_angle_gamma 88.39
loop_
_symmetry_equiv_pos_as_xyz
'x,y,z'
loop_
_atom_site_label
_atom_site_fract_x
_atom_site_fract_y
_atom_site_fract_z
O1 0.3072 0.3064 0.9936
O2 0.1987 0.7993 0.2153
O3 0.6744 0.6755 0.5082
O4 0.1998 0.8004 0.7848
O5 0.8002 0.1996 0.2152
O6 0.3256 0.3245 0.4918
O7 0.6928 0.6936 0.0064
O8 0.8013 0.2007 0.7847
Cr1 0.5013 0.5013 0.2446
Cr2 0.4987 0.4987 0.7554
V1 0.0000 0.0000 0.0000
Tm1 0.0000 0.0000 0.5000

***

No. 6
# PBE+U TmV2CrO8, relaxed
# * crystal system: tetragonal
# * SG: I-4m2 (119)
# * calculated total energy: -92.316 eV per cell
data_TmV2CrO8
_symmetry_space_group_name_H-M 'P 1'
_symmetry_Int_Tables_number 1
_cell_length_a 5.7932
_cell_length_b 5.7932
_cell_length_c 5.7932
_cell_angle_alpha 107.14
_cell_angle_beta 107.14
_cell_angle_gamma 114.23
loop_
_symmetry_equiv_pos_as_xyz
'x,y,z'
loop_
_atom_site_label
_atom_site_fract_x
_atom_site_fract_y
_atom_site_fract_z
O1 0.3214 0.1315 0.8101
O2 0.9264 0.2285 0.3021
O3 0.8685 0.6786 0.1899
O4 0.4887 0.6786 0.8101
O5 0.9264 0.6244 0.6979
O6 0.3756 0.0736 0.3021
O7 0.7715 0.0736 0.6979
O8 0.3214 0.5113 0.1899
V1 0.7500 0.2500 0.5000
V2 0.5000 0.5000 0.0000
Tm1 0.2500 0.7500 0.5000
Cr1 0.0000 0.0000 0.0000

***

> calculated total energy of number 1 (TmCrO4)?

-91.755 eV per cell